Record 1
A plane-wave DFT calculation with GGA-PBE was carried out for a geometry-optimized HoHfAu4 structure.

a b c (Å): 3.6291 3.6291 8.9028
angles (deg): 90.00 90.00 90.00
Closest atoms and distances in Å follow each position.
Space group P4/mmm (No. 123)
Inequivalent atoms, fractional coordinates:
1 Ho 0.0000 0.0000 0.0000 (multiplicity 1)  10 Au 2.99-3.03
2 Hf 0.5000 0.5000 0.5000 (multiplicity 1)  10 Au 2.91-2.93
3 Au 0.0000 0.0000 0.3404 (multiplicity 2)  5 Au 2.84-2.97, 4 Hf 2.93, 1 Ho 3.03
4 Au 0.5000 0.5000 0.1734 (multiplicity 2)  1 Hf 2.91, 5 Au 2.97-3.09, 4 Ho 2.99

- Total magnetic moment: 0.01 μB per formula unit
- E_tot: -5.32 eV per atom
- Formation energy from the elements: -719 meV/atom

Record 2
A plane-wave DFT calculation with GGA-PBE was carried out for a geometry-optimized Y3Mg3Zn2Ir structure.

a b c (Å): 7.3521 7.3521 4.2915
angles (deg): 90.00 90.00 120.00
Closest atoms and distances in Å follow each position.
Space group P-62m (No. 189)
Inequivalent atoms, fractional coordinates:
1 Y 0.0000 0.6008 0.0000 (multiplicity 3)  1 Ir 2.93, 4 Zn 3.11
2 Mg 0.0000 0.2374 0.5000 (multiplicity 3)  2 Ir 2.77, 2 Zn 2.87, 2 Mg 3.02
3 Zn 0.3333 0.6667 0.5000 (multiplicity 2)  3 Mg 2.87, 6 Y 3.11
4 Ir 0.0000 0.0000 0.0000 (multiplicity 1)  6 Mg 2.77, 3 Y 2.93

- Total magnetic moment: 0.05 μB per formula unit
- E_tot: -4.32 eV per atom

Record 3
A plane-wave DFT calculation with GGA-PBE was carried out for a geometry-optimized Tl2ReAg structure.

a b c (Å): 7.0372 7.0372 7.0372
angles (deg): 90.00 90.00 90.00
Closest atoms and distances in Å follow each position.
Space group F-43m (No. 216)
Inequivalent atoms, fractional coordinates:
1 Tl 0.0000 0.0000 0.0000 (multiplicity 4)  4 Tl 3.05, 4 Ag 3.05
2 Tl 0.2500 0.2500 0.2500 (multiplicity 4)  4 Tl 3.05, 4 Re 3.05
3 Re 0.0000 0.0000 0.5000 (multiplicity 4)  4 Ag 3.05, 4 Tl 3.05
4 Ag 0.2500 0.2500 0.7500 (multiplicity 4)  4 Tl 3.05, 4 Re 3.05

- Total magnetic moment: 2.67 μB per formula unit
- E_tot: -3.83 eV per atom